No. 1
LiBi2As2 GGA-PBE relaxed; magnetization = 0.00 μB per atom; space group = P4/mbm (127); ΔH_f (0 K) = 0.067 eV/atom; ΔE to the lowest computed polymorph = 97 meV per atom; crystal system = tetragonal
1.0
8.103 0.000 0.000
0.000 8.103 0.000
0.000 0.000 3.971
Bi As Li
4 4 2
direct
0.650 0.150 0.000
0.350 0.850 0.000
0.850 0.650 0.000
0.150 0.350 0.000
0.332 0.168 0.500
0.668 0.832 0.500
0.168 0.668 0.500
0.832 0.332 0.500
0.500 0.500 0.000
0.000 0.000 0.000

=====

No. 2
UNbTl2O6 GGA-PBE relaxed; magnetization = 0.09 μB per atom; E_form (uncorrected) = -2.22 eV per atom; space group = P4/mmm (123); crystal system = tetragonal
1.0
-1.211 0.465 -4.025
-3.772 -1.663 0.943
-2.973 7.761 1.791
O U Tl Nb
6 1 2 1
direct
0.500 0.000 0.500
0.000 0.500 0.500
0.500 0.000 0.000
0.500 0.500 0.737
0.500 0.500 0.263
0.000 0.500 0.000
0.500 0.500 0.000
0.000 0.000 0.730
0.000 0.000 0.270
0.500 0.500 0.500

=====

No. 3
LiSb2Rh2 GGA-PBE relaxed; magnetization = 0.00 μB per atom; E_form (uncorrected) = -0.37 eV per atom; space group = P4/mbm (127); ΔE to the lowest computed polymorph = 3 meV per atom; crystal system = tetragonal
1.0
7.522 0.000 0.000
0.000 7.522 0.000
0.000 0.000 3.277
Rh Li Sb
4 2 4
direct
0.364 0.864 0.000
0.136 0.364 0.000
0.864 0.636 0.000
0.636 0.136 0.000
0.000 0.000 0.000
0.500 0.500 0.000
0.840 0.340 0.500
0.160 0.660 0.500
0.660 0.840 0.500
0.340 0.160 0.500

=====

No. 4
La4WAu GGA-PBE relaxed; magnetization = 0.14 μB per atom; space group = F-43m (216); ΔH_f (0 K) = 0.866 eV/atom; crystal system = cubic
1.0
0.000 4.384 4.384
4.384 0.000 4.384
4.384 4.384 0.000
W La Au
1 4 1
direct
0.750 0.750 0.750
0.872 0.376 0.376
0.376 0.376 0.376
0.376 0.872 0.376
0.376 0.376 0.872
0.000 0.000 0.000

=====

No. 5
Ta2CdHg GGA-PBE relaxed; magnetization = 0.00 μB per atom; space group = F-43m (216); ΔH_f (0 K) = 0.658 eV/atom; ΔE to the lowest computed polymorph = 491 meV per atom; crystal system = cubic
1.0
4.815 0.000 0.000
2.408 4.170 0.000
2.408 1.390 3.932
Hg Ta Cd
1 2 1
direct
0.750 0.750 0.750
0.000 0.000 0.000
0.250 0.250 0.250
0.500 0.500 0.500

=====

No. 6
ThCuPSe GGA-PBE relaxed; magnetization = 0.00 μB per atom; E_form (uncorrected) = -1.09 eV per atom; space group = R-3m (166); crystal system = trigonal
1.0
4.125 0.000 0.000
2.062 3.572 0.000
2.062 1.191 13.494
Cu Th Se P
2 2 2 2
direct
0.311 0.311 0.066
0.689 0.689 0.934
0.079 0.079 0.763
0.921 0.921 0.237
0.214 0.214 0.359
0.786 0.786 0.641
0.371 0.371 0.888
0.629 0.629 0.112

=====

No. 7
Pr12SmMg3 GGA-PBE relaxed; magnetization = 0.00 μB per atom; space group = P4/mmm (123); ΔH_f (0 K) = -0.003 eV/atom; crystal system = tetragonal
1.0
-1.070 -2.500 -4.319
-3.263 -2.992 2.540
-15.219 13.278 -3.914
Sm Mg Pr
1 3 12
direct
0.000 0.000 0.000
0.000 0.000 0.746
0.000 0.000 0.254
0.000 0.000 0.500
0.500 0.500 0.000
0.500 0.000 0.623
0.500 0.500 0.500
0.000 0.500 0.129
0.500 0.000 0.377
0.000 0.500 0.623
0.500 0.500 0.253
0.500 0.500 0.747
0.000 0.500 0.377
0.500 0.000 0.871
0.000 0.500 0.871
0.500 0.000 0.129

=====

No. 8
Nd2YRu GGA-PBE relaxed; magnetization = 0.00 μB per atom; space group = Pnma (62); ΔH_f (0 K) = -0.220 eV/atom; ΔE to the lowest computed polymorph = 0 meV per atom; crystal system = orthorhombic
1.0
6.379 0.000 0.000
0.000 7.397 0.000
0.000 0.000 9.678
Ru Nd Y
4 8 4
direct
0.548 0.115 0.750
0.952 0.615 0.750
0.048 0.385 0.250
0.452 0.885 0.250
0.669 0.823 0.565
0.331 0.177 0.065
0.331 0.177 0.435
0.169 0.677 0.435
0.169 0.677 0.065
0.831 0.323 0.565
0.831 0.323 0.935
0.669 0.823 0.935
0.856 0.042 0.250
0.644 0.542 0.250
0.144 0.958 0.750
0.356 0.458 0.750